Entry 1:
DFT (PBE) results for La5Al2Sn after structural relaxation.

The calculation puts the formation energy at -0.43 eV/atom. The calculation puts the density of states at the Fermi level at 1.22 states/eV per atom. For the total magnetization, the calculation gives 0.00 μB per cell. The uncorrected energy comes out at -4.95 eV/atom. Its symmetry is I4/mcm.

Lattice parameters (Å, degrees): 9.154 9.154 9.154 124.34 124.34 82.63
Positions (direct):
La: 0.000 0.000 0.000
La: 0.024 0.524 0.847
La: 0.177 0.024 0.500
La: 0.323 0.823 0.847
La: 0.476 0.323 0.500
La: 0.500 0.500 0.000
La: 0.524 0.677 0.500
La: 0.677 0.177 0.153
La: 0.823 0.976 0.500
La: 0.976 0.476 0.153
Al: 0.116 0.384 0.500
Al: 0.384 0.884 0.267
Al: 0.616 0.116 0.733
Al: 0.884 0.616 0.500
Sn: 0.250 0.250 0.000
Sn: 0.750 0.750 0.000

***

Entry 2:
DFT (PBE) results for RbTlCl2 after structural relaxation.

The calculation puts the density of states at the Fermi level at 0.00 states/eV per atom. The formation energy without anion corrections comes out at -1282 meV per atom. For the total magnetization, the calculation gives 0.00 μB per cell. The uncorrected energy comes out at -3.04 eV/atom. Its symmetry is R-3m.

Lattice parameters (Å, degrees): 9.697 9.697 9.697 29.55 29.55 29.55
Positions (direct):
Rb: 0.000 0.000 0.000
Tl: 0.500 0.500 0.500
Cl: 0.397 0.397 0.397
Cl: 0.603 0.603 0.603

***

Entry 3:
DFT (PBE) results for ZnInNiH after structural relaxation.

The calculation puts the density of states at the Fermi level at 0.45 states/eV per atom. For the total magnetization, the calculation gives 0.00 μB per cell. The uncorrected energy comes out at -3.28 eV/atom. Its symmetry is Pm.

Lattice parameters (Å, degrees): 4.238 2.955 4.461 90.00 94.86 90.00
Positions (direct):
Zn: 0.000 0.000 0.000
In: 0.452 0.000 0.534
Ni: 0.508 0.500 0.037
H: 0.829 0.500 0.231

***

Entry 4:
DFT (PBE) results for Ca2TlSi2Rh5 after structural relaxation.

The calculation puts the density of states at the Fermi level at 0.43 states/eV per atom. The formation energy without anion corrections comes out at -712 meV per atom. For the total magnetization, the calculation gives 0.00 μB per cell. The uncorrected energy comes out at -6.11 eV/atom. Its symmetry is P4/mbm.

Lattice parameters (Å, degrees): 10.037 10.037 3.409 90.00 90.00 90.00
Positions (direct):
Ca: 0.175 0.325 0.000
Ca: 0.325 0.825 0.000
Ca: 0.675 0.175 0.000
Ca: 0.825 0.675 0.000
Tl: 0.000 0.000 0.000
Tl: 0.500 0.500 0.000
Si: 0.123 0.623 0.000
Si: 0.377 0.123 0.000
Si: 0.623 0.877 0.000
Si: 0.877 0.377 0.000
Rh: 0.000 0.500 0.500
Rh: 0.070 0.780 0.500
Rh: 0.220 0.070 0.500
Rh: 0.280 0.570 0.500
Rh: 0.430 0.280 0.500
Rh: 0.500 0.000 0.500
Rh: 0.570 0.720 0.500
Rh: 0.720 0.430 0.500
Rh: 0.780 0.930 0.500
Rh: 0.930 0.220 0.500

***

Entry 5:
DFT (PBE) results for K2Zn3Sn4Pb after structural relaxation.

The calculation puts the formation energy at -0.10 eV/atom. The calculation puts the density of states at the Fermi level at 0.30 states/eV per atom. For the total magnetization, the calculation gives 0.00 μB per cell. The uncorrected energy comes out at -2.67 eV/atom. Its symmetry is P-4m2.

Lattice parameters (Å, degrees): 4.866 4.866 11.955 90.00 90.00 90.00
Positions (direct):
K: 0.000 0.500 0.244
K: 0.500 0.000 0.756
Zn: 0.000 0.500 0.873
Zn: 0.500 0.000 0.127
Zn: 0.500 0.500 0.500
Sn: 0.000 0.000 0.000
Sn: 0.000 0.500 0.645
Sn: 0.500 0.000 0.355
Sn: 0.500 0.500 0.000
Pb: 0.000 0.000 0.500

***

Entry 6:
DFT (PBE) results for ThTlBi after structural relaxation.

The calculation puts the formation energy at -0.09 eV/atom. The calculation puts the density of states at the Fermi level at 1.02 states/eV per atom. For the total magnetization, the calculation gives 0.00 μB per cell. The uncorrected energy comes out at -4.64 eV/atom. Its symmetry is P3m1.

Lattice parameters (Å, degrees): 5.547 5.547 3.417 90.00 90.00 120.00
Positions (direct):
Th: 0.000 0.000 0.000
Tl: 0.667 0.333 0.431
Bi: 0.333 0.667 0.564

***

Entry 7:
DFT (PBE) results for La4Tl5Ga2 after structural relaxation.

The calculation puts the formation energy at -0.42 eV/atom. The calculation puts the density of states at the Fermi level at 0.86 states/eV per atom. For the total magnetization, the calculation gives 0.00 μB per cell. The uncorrected energy comes out at -3.83 eV/atom. Its symmetry is P2/m.

Lattice parameters (Å, degrees): 8.380 3.968 9.814 90.00 91.34 90.00
Positions (direct):
La: 0.206 0.000 0.355
La: 0.236 0.000 0.903
La: 0.764 0.000 0.097
La: 0.794 0.000 0.645
Tl: 0.134 0.500 0.631
Tl: 0.438 0.500 0.156
Tl: 0.500 0.500 0.500
Tl: 0.562 0.500 0.844
Tl: 0.866 0.500 0.369
Ga: 0.075 0.500 0.120
Ga: 0.925 0.500 0.880

***

Entry 8:
DFT (PBE) results for Ru2PtW after structural relaxation.

The calculation puts the formation energy at 0.06 eV/atom. The calculation puts the density of states at the Fermi level at 1.13 states/eV per atom. For the total magnetization, the calculation gives 0.00 μB per cell. The uncorrected energy comes out at -9.33 eV/atom. Its symmetry is R3m.

Lattice parameters (Å, degrees): 9.156 9.156 9.156 17.37 17.37 17.37
Positions (direct):
Ru: 0.000 0.000 0.000
Ru: 0.255 0.255 0.255
Pt: 0.753 0.753 0.753
W: 0.505 0.505 0.505

***

Entry 9:
DFT (PBE) results for RbCd2InI8 after structural relaxation.

The calculation puts the density of states at the Fermi level at 0.00 states/eV per atom. The formation energy without anion corrections comes out at -685 meV per atom. For the total magnetization, the calculation gives 0.00 μB per cell. The uncorrected energy comes out at -2.18 eV/atom. Its symmetry is P-1.

Lattice parameters (Å, degrees): 7.657 8.301 10.179 113.90 95.12 93.26
Positions (direct):
Rb: 0.000 0.000 0.000
Cd: 0.455 0.658 0.198
Cd: 0.545 0.342 0.802
In: 0.000 0.000 0.500
I: 0.097 0.725 0.207
I: 0.167 0.817 0.645
I: 0.334 0.246 0.540
I: 0.448 0.273 0.043
I: 0.552 0.727 0.957
I: 0.666 0.754 0.460
I: 0.833 0.183 0.355
I: 0.903 0.275 0.793

***

Entry 10:
DFT (PBE) results for UTlBi2O8 after structural relaxation.

The calculation puts the density of states at the Fermi level at 0.26 states/eV per atom. The formation energy without anion corrections comes out at -1661 meV per atom. For the total magnetization, the calculation gives 0.00 μB per cell. The uncorrected energy comes out at -6.75 eV/atom. Its symmetry is Cmmm.

Lattice parameters (Å, degrees): 5.127 5.127 7.255 90.00 90.00 91.67
Positions (direct):
U: 0.000 0.000 0.000
Tl: 0.000 0.000 0.500
Bi: 0.500 0.500 0.248
Bi: 0.500 0.500 0.752
O: 0.187 0.813 0.214
O: 0.187 0.813 0.786
O: 0.296 0.296 0.500
O: 0.301 0.301 0.000
O: 0.699 0.699 0.000
O: 0.704 0.704 0.500
O: 0.813 0.187 0.214
O: 0.813 0.187 0.786

***

Entry 11:
DFT (PBE) results for Cd5Hg7Bi after structural relaxation.

The calculation puts the formation energy at 0.04 eV/atom. The calculation puts the density of states at the Fermi level at 0.24 states/eV per atom. For the total magnetization, the calculation gives 0.00 μB per cell. The uncorrected energy comes out at -0.78 eV/atom. Its symmetry is Cm.

Lattice parameters (Å, degrees): 7.738 7.738 5.917 99.76 99.76 82.80
Positions (direct):
Cd: 0.000 0.000 0.000
Cd: 0.127 0.652 0.734
Cd: 0.178 0.645 0.231
Cd: 0.645 0.178 0.231
Cd: 0.652 0.127 0.734
Hg: 0.334 0.997 0.389
Hg: 0.441 0.441 0.557
Hg: 0.492 0.819 0.871
Hg: 0.642 0.642 0.311
Hg: 0.819 0.492 0.871
Hg: 0.913 0.913 0.460
Hg: 0.997 0.334 0.389
Bi: 0.265 0.265 0.943

***

Entry 12:
DFT (PBE) results for Li3PW after structural relaxation.

The calculation puts the formation energy at 1.01 eV/atom. The calculation puts the density of states at the Fermi level at 0.79 states/eV per atom. For the total magnetization, the calculation gives 0.00 μB per cell. The uncorrected energy comes out at -3.81 eV/atom. Its symmetry is Pm-3m.

Lattice parameters (Å, degrees): 4.273 4.273 4.273 90.00 90.00 90.00
Positions (direct):
Li: 0.000 0.000 0.500
Li: 0.000 0.500 0.000
Li: 0.500 0.000 0.000
P: 0.000 0.000 0.000
W: 0.500 0.500 0.500

***

Entry 13:
DFT (PBE) results for Cs2SrHg4 after structural relaxation.

The calculation puts the formation energy at -0.15 eV/atom. The calculation puts the density of states at the Fermi level at 0.85 states/eV per atom. For the total magnetization, the calculation gives 0.00 μB per cell. The uncorrected energy comes out at -0.81 eV/atom. Its symmetry is I4/mmm.

Lattice parameters (Å, degrees): 10.716 10.716 10.716 145.85 145.85 49.07
Positions (direct):
Cs: 0.130 0.130 0.000
Cs: 0.870 0.870 0.000
Sr: 0.500 0.500 0.000
Hg: 0.000 0.500 0.500
Hg: 0.332 0.332 0.000
Hg: 0.500 0.000 0.500
Hg: 0.668 0.668 0.000

***

Entry 14:
DFT (PBE) results for TaCd2Ni after structural relaxation.

The calculation puts the formation energy at 0.30 eV/atom. The calculation puts the density of states at the Fermi level at 1.34 states/eV per atom. For the total magnetization, the calculation gives 0.01 μB per cell. The uncorrected energy comes out at -4.57 eV/atom. Its symmetry is R-3m.

Lattice parameters (Å, degrees): 9.688 9.688 9.688 17.32 17.32 17.32
Positions (direct):
Ta: 0.000 0.000 0.000
Cd: 0.242 0.242 0.242
Cd: 0.758 0.758 0.758
Ni: 0.500 0.500 0.500

***

Entry 15:
DFT (PBE) results for PmTl3Te2O9 after structural relaxation.

The calculation puts the density of states at the Fermi level at 0.30 states/eV per atom. The formation energy without anion corrections comes out at -1244 meV per atom. For the total magnetization, the calculation gives 0.00 μB per cell. The uncorrected energy comes out at -5.43 eV/atom. Its symmetry is P-3m1.

Lattice parameters (Å, degrees): 5.966 5.966 7.407 90.00 90.00 120.00
Positions (direct):
Pm: 0.000 0.000 0.000
Tl: 0.000 0.000 0.500
Tl: 0.333 0.667 0.171
Tl: 0.667 0.333 0.829
Te: 0.333 0.667 0.664
Te: 0.667 0.333 0.336
O: 0.000 0.500 0.500
O: 0.179 0.357 0.807
O: 0.179 0.821 0.807
O: 0.357 0.179 0.193
O: 0.500 0.000 0.500
O: 0.500 0.500 0.500
O: 0.643 0.821 0.807
O: 0.821 0.179 0.193
O: 0.821 0.643 0.193

***

Entry 16:
DFT (PBE) results for YInRe after structural relaxation.

The calculation puts the formation energy at 0.29 eV/atom. The calculation puts the density of states at the Fermi level at 0.80 states/eV per atom. For the total magnetization, the calculation gives 0.00 μB per cell. The uncorrected energy comes out at -6.93 eV/atom. Its symmetry is P3m1.

Lattice parameters (Å, degrees): 4.953 4.953 2.993 90.00 90.00 120.00
Positions (direct):
Y: 0.000 0.000 0.000
In: 0.667 0.333 0.498
Re: 0.333 0.667 0.502

***

Entry 17:
DFT (PBE) results for NdHoCoRu after structural relaxation.

The calculation puts the formation energy at -0.12 eV/atom. The calculation puts the density of states at the Fermi level at 0.94 states/eV per atom. For the total magnetization, the calculation gives 0.00 μB per cell. The uncorrected energy comes out at -6.55 eV/atom. Its symmetry is F-43m.

Lattice parameters (Å, degrees): 4.842 4.842 4.842 60.00 60.00 60.00
Positions (direct):
Nd: 0.000 0.000 0.000
Ho: 0.500 0.500 0.500
Co: 0.750 0.750 0.750
Ru: 0.250 0.250 0.250

***

Entry 18:
DFT (PBE) results for Zn2SiMo after structural relaxation.

The calculation puts the density of states at the Fermi level at 0.73 states/eV per atom. The formation energy without anion corrections comes out at 142 meV per atom. For the total magnetization, the calculation gives 0.00 μB per cell. The uncorrected energy comes out at -4.56 eV/atom. Its symmetry is R3m.

Lattice parameters (Å, degrees): 8.628 8.628 8.628 19.15 19.15 19.15
Positions (direct):
Zn: 0.000 0.000 0.000
Zn: 0.249 0.249 0.249
Si: 0.500 0.500 0.500
Mo: 0.754 0.754 0.754

***

Entry 19:
DFT (PBE) results for KFe2Au after structural relaxation.

The calculation puts the formation energy at 0.72 eV/atom. The calculation puts the density of states at the Fermi level at 1.11 states/eV per atom. For the total magnetization, the calculation gives 5.79 μB per cell. The uncorrected energy comes out at -4.61 eV/atom. Its symmetry is Immm.

Lattice parameters (Å, degrees): 6.265 6.265 6.265 155.10 129.54 57.07
Positions (direct):
K: 0.000 0.000 0.000
Fe: 0.285 0.785 0.500
Fe: 0.715 0.215 0.500
Au: 0.500 0.500 0.000

***

Entry 20:
DFT (PBE) results for Pm2Fe2C2N after structural relaxation.

The calculation puts the density of states at the Fermi level at 0.58 states/eV per atom. The formation energy without anion corrections comes out at -400 meV per atom. For the total magnetization, the calculation gives 0.00 μB per cell. The uncorrected energy comes out at -8.00 eV/atom. Its symmetry is C2/m.

Lattice parameters (Å, degrees): 5.397 5.397 6.252 121.71 121.71 37.03
Positions (direct):
Pm: 0.067 0.067 0.325
Pm: 0.933 0.933 0.675
Fe: 0.295 0.295 0.915
Fe: 0.705 0.705 0.085
C: 0.301 0.301 0.238
C: 0.699 0.699 0.762
N: 0.500 0.500 0.000